1.
The following is a PBE calculation of a geometry-optimized Sc3Cu structure, from Alexandria via LeMat-Bulk.

CIF file:
```
data_Sc3Cu
_cell_length_a 3.347
_cell_length_b 4.421
_cell_length_c 5.899
_cell_angle_alpha 90.00
_cell_angle_beta 104.17
_cell_angle_gamma 90.00
_space_group_name_H-M_alt 'P 1'
_space_group_IT_number 1
loop_
_space_group_symop_operation_xyz
'x,y,z'
loop_
_atom_site_label
_atom_site_fract_x
_atom_site_fract_y
_atom_site_fract_z
Sc1 0.000 0.000 0.000
Sc2 0.394 0.500 0.728
Sc3 0.606 0.500 0.272
Cu1 0.000 0.000 0.500
```

crystal system: monoclinic
E_form: 0.017 eV/atom
polymorph energy (0 for the lowest one): 59.4 kJ/mol of formula units


2.
The following is a PBE calculation of a geometry-optimized GePW2Cl structure, from Alexandria via LeMat-Bulk.

CIF file:
```
data_GePW2Cl
_cell_length_a 4.554
_cell_length_b 4.554
_cell_length_c 5.010
_cell_angle_alpha 90.00
_cell_angle_beta 90.00
_cell_angle_gamma 90.00
_space_group_name_H-M_alt 'P 1'
_space_group_IT_number 1
loop_
_space_group_symop_operation_xyz
'x,y,z'
loop_
_atom_site_label
_atom_site_fract_x
_atom_site_fract_y
_atom_site_fract_z
Ge1 0.000 0.000 0.000
P1 0.000 0.000 0.500
W1 0.000 0.500 0.500
W2 0.500 0.000 0.500
Cl1 0.500 0.500 0.000
```

crystal system: tetragonal
formation energy without anion corrections: 1.37 eV per atom


3.
The following is a PBE calculation of a geometry-optimized TlCl3 structure, from Alexandria via LeMat-Bulk.

CIF file:
```
data_TlCl3
_cell_length_a 14.428
_cell_length_b 7.003
_cell_length_c 5.731
_cell_angle_alpha 90.00
_cell_angle_beta 90.00
_cell_angle_gamma 90.00
_space_group_name_H-M_alt 'P 1'
_space_group_IT_number 1
loop_
_space_group_symop_operation_xyz
'x,y,z'
loop_
_atom_site_label
_atom_site_fract_x
_atom_site_fract_y
_atom_site_fract_z
Tl1 0.209 0.250 0.044
Tl2 0.291 0.750 0.544
Tl3 0.709 0.250 0.456
Tl4 0.791 0.750 0.956
Cl1 0.048 0.250 0.132
Cl2 0.175 0.007 0.645
Cl3 0.175 0.493 0.645
Cl4 0.325 0.507 0.145
Cl5 0.325 0.993 0.145
Cl6 0.452 0.750 0.632
Cl7 0.548 0.250 0.368
Cl8 0.675 0.007 0.855
Cl9 0.675 0.493 0.855
Cl10 0.825 0.507 0.355
Cl11 0.825 0.993 0.355
Cl12 0.952 0.750 0.868
```

crystal system: orthorhombic
formation energy without anion corrections: -0.57 eV per atom


4.
The following is a PBE calculation of a geometry-optimized K2MgPbF6 structure, from Alexandria via LeMat-Bulk.

CIF file:
```
data_K2MgPbF6
_cell_length_a 6.154
_cell_length_b 6.242
_cell_length_c 10.660
_cell_angle_alpha 90.00
_cell_angle_beta 124.83
_cell_angle_gamma 90.00
_space_group_name_H-M_alt 'P 1'
_space_group_IT_number 1
loop_
_space_group_symop_operation_xyz
'x,y,z'
loop_
_atom_site_label
_atom_site_fract_x
_atom_site_fract_y
_atom_site_fract_z
K1 0.240 0.037 0.249
K2 0.240 0.463 0.749
K3 0.760 0.537 0.251
K4 0.760 0.963 0.751
Mg1 0.000 0.000 0.500
Mg2 0.000 0.500 0.000
Pb1 0.500 0.000 0.000
Pb2 0.500 0.500 0.500
F1 0.141 0.235 0.956
F2 0.141 0.265 0.456
F3 0.226 0.688 0.962
F4 0.226 0.812 0.462
F5 0.302 0.025 0.725
F6 0.302 0.475 0.225
F7 0.698 0.525 0.775
F8 0.698 0.975 0.275
F9 0.774 0.188 0.538
F10 0.774 0.312 0.038
F11 0.859 0.735 0.544
F12 0.859 0.765 0.044
```

crystal system: monoclinic
formation energy without anion corrections: -2.89 eV per atom


5.
The following is a PBE calculation of a geometry-optimized Be2SnPd7 structure, from Alexandria via LeMat-Bulk.

CIF file:
```
data_Be2SnPd7
_cell_length_a 6.561
_cell_length_b 6.561
_cell_length_c 4.130
_cell_angle_alpha 90.00
_cell_angle_beta 90.00
_cell_angle_gamma 113.06
_space_group_name_H-M_alt 'P 1'
_space_group_IT_number 1
loop_
_space_group_symop_operation_xyz
'x,y,z'
loop_
_atom_site_label
_atom_site_fract_x
_atom_site_fract_y
_atom_site_fract_z
Be1 0.212 0.788 0.000
Be2 0.788 0.212 0.000
Sn1 0.500 0.500 0.500
Pd1 0.000 0.000 0.000
Pd2 0.170 0.830 0.500
Pd3 0.181 0.439 0.000
Pd4 0.439 0.181 0.000
Pd5 0.561 0.819 0.000
Pd6 0.819 0.561 0.000
Pd7 0.830 0.170 0.500
```

crystal system: orthorhombic
E_form: -0.144 eV/atom


6.
The following is a PBE calculation of a geometry-optimized CaLaAl structure, from Alexandria via LeMat-Bulk.

CIF file:
```
data_CaLaAl
_cell_length_a 5.063
_cell_length_b 4.619
_cell_length_c 7.862
_cell_angle_alpha 90.00
_cell_angle_beta 103.41
_cell_angle_gamma 90.00
_space_group_name_H-M_alt 'P 1'
_space_group_IT_number 1
loop_
_space_group_symop_operation_xyz
'x,y,z'
loop_
_atom_site_label
_atom_site_fract_x
_atom_site_fract_y
_atom_site_fract_z
Ca1 0.000 0.000 0.000
Ca2 0.500 0.500 0.000
La1 0.144 0.500 0.354
La2 0.856 0.500 0.646
Al1 0.385 0.000 0.664
Al2 0.615 0.000 0.336
```

crystal system: monoclinic
E_form: -0.138 eV/atom
polymorph energy (0 for the lowest one): 41.3 kJ/mol of formula units


no.,raw total energy (eV/cell)
1,-23.022
2,-30.920
3,-40.822
4,-95.314
5,-49.250
6,-22.170